P) Density functional theory data (PBE-GGA) for a relaxed structure of Pu2NpCu.

abc: 2.6694 2.6694 35.4101
angles: 90.00 90.00 120.00
Space group R-3m (No. 166, hexagonal axes)
Unique sites:
1 Pu 0.0000 0.0000 0.0807 x6
2 Np 0.0000 0.0000 0.5000 x3
3 Cu 0.0000 0.0000 0.0000 x3

Results
M_tot in Bohr magnetons per cell: 19.4

Q) Density functional theory data (PBE-GGA) for a relaxed structure of Pu2NpCu.

abc: 5.1345 5.1345 2.9521
angles: 90.00 90.00 90.00
Space group P4/mmm (No. 123)
Unique sites:
1 Pu 0.0000 0.5000 0.0000 x2
2 Np 0.0000 0.0000 0.5000 x1
3 Cu 0.5000 0.5000 0.5000 x1

Results
M_tot in Bohr magnetons per cell: 6.7

The most stable of them is Q).

P) Density functional theory data (PBE-GGA) for a relaxed structure of NpCuRh2.

abc: 4.1518 4.1518 3.7417
angles: 90.00 90.00 90.00
Space group P4/mmm (No. 123)
Unique sites:
1 Np 0.0000 0.0000 0.0000 x1
2 Cu 0.5000 0.5000 0.0000 x1
3 Rh 0.0000 0.5000 0.5000 x2

Results
M_tot in Bohr magnetons per cell: 2.6

Q) Density functional theory data (PBE-GGA) for a relaxed structure of NpCuRh2.

abc: 6.4069 6.4069 6.4069
angles: 90.00 90.00 90.00
Space group Fm-3m (No. 225)
Unique sites:
1 Np 0.0000 0.0000 0.0000 x4
2 Cu 0.0000 0.0000 0.5000 x4
3 Rh 0.2500 0.2500 0.2500 x8

Results
M_tot in Bohr magnetons per cell: 12.3

The most stable of them is P).

P) Density functional theory data (PBE-GGA) for a relaxed structure of NpCu2Se3.

abc: 6.5008 4.0439 10.7364
angles: 90.00 93.15 90.00
Space group P2_1/m (No. 11)
Unique sites:
1 Np 0.0338 0.2500 0.1771 x2
2 Cu 0.0017 0.7500 0.4180 x2
3 Cu 0.3698 0.7500 0.0531 x2
4 Se 0.2047 0.7500 0.6206 x2
5 Se 0.2424 0.2500 0.9400 x2
6 Se 0.2955 0.7500 0.2718 x2

Results
M_tot in Bohr magnetons per cell: 6.2

Q) Density functional theory data (PBE-GGA) for a relaxed structure of NpCu2Se3.

abc: 7.2006 4.0494 10.0850
angles: 90.00 104.52 90.00
Space group P2_1/m (No. 11)
Unique sites:
1 Np 0.1584 0.2500 0.1831 x2
2 Cu 0.1841 0.2500 0.8665 x2
3 Cu 0.4158 0.7500 0.4180 x2
4 Se 0.0547 0.7500 0.3450 x2
5 Se 0.2429 0.7500 0.9968 x2
6 Se 0.4631 0.7500 0.6708 x2

Results
M_tot in Bohr magnetons per cell: 6.1

The most stable of them is P).

P) Density functional theory data (PBE-GGA) for a relaxed structure of Cu3O2.

abc: 2.8871 2.8871 7.0699
angles: 90.00 90.00 120.00
Space group P-3m1 (No. 164)
Unique sites:
1 Cu 0.0000 0.0000 0.0000 x1
2 Cu 0.3333 0.6667 0.3647 x2
3 O 0.3333 0.6667 0.8247 x2

Results
M_tot in Bohr magnetons per cell: 0.0

Q) Density functional theory data (PBE-GGA) for a relaxed structure of Cu3O2.

abc: 5.9085 5.9085 6.4778
angles: 90.00 90.00 120.00
Space group R-3m (No. 166, hexagonal axes)
Unique sites:
1 Cu 0.0000 0.5000 0.0000 x9
2 O 0.0000 0.0000 0.2320 x6

Results
M_tot in Bohr magnetons per cell: 1.4

The most stable of them is Q).

P) Density functional theory data (PBE-GGA) for a relaxed structure of Cu4O3.

abc: 4.0493 4.0493 9.3635
angles: 90.00 90.00 90.00
Space group P4/nmm (No. 129, origin choice 2)
Unique sites:
1 Cu 0.2500 0.2500 0.2071 x2
2 Cu 0.2500 0.2500 0.7646 x2
3 Cu 0.2500 0.7500 0.0000 x2
4 Cu 0.2500 0.7500 0.5000 x2
5 O 0.2500 0.2500 0.5128 x2
6 O 0.2500 0.7500 0.2025 x4

Results
M_tot in Bohr magnetons per cell: 0.2

Q) Density functional theory data (PBE-GGA) for a relaxed structure of Cu4O3.

abc: 2.9191 2.9191 28.5784
angles: 90.00 90.00 120.00
Space group R-3m (No. 166, hexagonal axes)
Unique sites:
1 Cu 0.0000 0.0000 0.1224 x6
2 Cu 0.0000 0.0000 0.3666 x6
3 O 0.0000 0.0000 0.2532 x6
4 O 0.0000 0.0000 0.5000 x3

Results
M_tot in Bohr magnetons per cell: 2.5

The most stable of them is P).

P) Density functional theory data (PBE-GGA) for a relaxed structure of Cu4O3.

abc: 5.9103 5.9103 9.8401
angles: 90.00 90.00 90.00
Space group I4_1/amd (No. 141, origin choice 2)
Unique sites:
1 Cu 0.0000 0.0000 0.0000 x8
2 Cu 0.0000 0.0000 0.5000 x8
3 O 0.0000 0.2500 0.1121 x8
4 O 0.0000 0.2500 0.3750 x4

Results
M_tot in Bohr magnetons per cell: 3.4

Q) Density functional theory data (PBE-GGA) for a relaxed structure of Cu4O3.

abc: 4.0500 4.0500 9.3553
angles: 90.00 90.00 90.00
Space group P4/nmm (No. 129, origin choice 2)
Unique sites:
1 Cu 0.2500 0.2500 0.2085 x2
2 Cu 0.2500 0.2500 0.7654 x2
3 Cu 0.2500 0.7500 0.0000 x2
4 Cu 0.2500 0.7500 0.5000 x2
5 O 0.2500 0.2500 0.5125 x2
6 O 0.2500 0.7500 0.2026 x4

Results
M_tot in Bohr magnetons per cell: 0.2

The most stable of them is P).